3
Lattice="0.000 2.880 2.880 2.880 0.000 2.880 2.880 2.880 0.000" Properties=species:S:1:pos:R:3 comment="ZrBeGe, relaxed, DFT PBE-GGA" total_energy_ev_per_atom=-5.7948 volume_a3_per_cell=47.78 crystal_system=cubic pbc="T T T"
Zr 0.000 0.000 0.000
Be 4.320 4.320 4.320
Ge 2.880 2.880 2.880